K2PaReO8 after structural relaxation, computed with PBE.

a b c (Å): 5.688 6.741 5.730
angles (deg): 90.00 91.87 90.00
Fractional coordinates of all 12 atoms:
K 0.000 0.241 0.000
K 0.000 0.759 0.000
Pa 0.500 0.500 0.500
Re 0.500 0.000 0.500
O 0.259 0.500 0.258
O 0.269 0.000 0.268
O 0.341 0.212 0.657
O 0.341 0.788 0.657
O 0.659 0.212 0.343
O 0.659 0.788 0.343
O 0.731 0.000 0.732
O 0.741 0.500 0.742

* magnetization: 0.166 μB/atom
* energy relative to the elements, uncorrected: -2212.1 kJ/mol of formula units
* volume: 220 Å³ per cell



K2Pa3RhO12 after structural relaxation, computed with PBE.

a b c (Å): 7.809 7.809 7.809
angles (deg): 61.75 61.75 61.75
Fractional coordinates of all 18 atoms:
K 0.161 0.161 0.161
K 0.839 0.839 0.839
Pa 0.000 0.500 0.500
Pa 0.500 0.000 0.500
Pa 0.500 0.500 0.000
Rh 0.500 0.500 0.500
O 0.178 0.178 0.550
O 0.178 0.550 0.178
O 0.211 0.559 0.559
O 0.441 0.441 0.789
O 0.441 0.789 0.441
O 0.450 0.822 0.822
O 0.550 0.178 0.178
O 0.559 0.211 0.559
O 0.559 0.559 0.211
O 0.789 0.441 0.441
O 0.822 0.450 0.822
O 0.822 0.822 0.450

* magnetization: 0.226 μB/atom
* energy relative to the elements, uncorrected: -4162.0 kJ/mol of formula units
* volume: 350 Å³ per cell